Record 1
The following is a DFT calculation (PBE) of a geometry-optimized Sr4HN2 structure.

- DFT total energy: -4.412 eV per atom

abc: 13.5321 13.5321 13.5321
angles: 16.31 16.31 16.31
Closest atoms and distances in Å follow each position.
Atoms (fractional coordinates):
Sr 0.1135 0.1135 0.1135  3 N 2.61
Sr 0.2883 0.2883 0.2883  3 N 2.60, 3 H 2.86
Sr 0.7117 0.7117 0.7117  3 N 2.60, 3 H 2.86
Sr 0.8865 0.8865 0.8865  3 N 2.61
H 0.0000 0.0000 0.0000  6 Sr 2.86
N 0.4125 0.4125 0.4125  6 Sr 2.60-2.61
N 0.5875 0.5875 0.5875  6 Sr 2.60-2.61

---

Record 2
The following is a DFT calculation (PBE) of a geometry-optimized TlGaSe2O8 structure.

- DFT total energy: -5.204 eV per atom
- Formation energy (no corrections): -0.8679 eV per atom

abc: 5.0802 5.0802 8.8992
angles: 90.00 90.00 120.00
Closest atoms and distances in Å follow each position.
Atoms (fractional coordinates):
Tl 0.0000 0.0000 0.0000  6 O 3.09
Ga 0.0000 0.0000 0.5000  6 O 2.01
Se 0.3333 0.6667 0.7059  4 O 1.65-1.68
Se 0.6667 0.3333 0.2941  4 O 1.65-1.68
O 0.0545 0.3251 0.6468  1 Se 1.68
O 0.2707 0.9455 0.6468  1 Se 1.68
O 0.3251 0.0545 0.3532  1 Se 1.68
O 0.3333 0.6667 0.8914  1 Se 1.65
O 0.6667 0.3333 0.1086  1 Se 1.65
O 0.6749 0.7293 0.6468  1 Se 1.68
O 0.7293 0.6749 0.3532  1 Se 1.68
O 0.9455 0.2707 0.3532  1 Se 1.68

---

Record 3
The following is a DFT calculation (PBE) of a geometry-optimized Ce3NdNi8 structure.

- ΔE_f: -0.341 eV per atom
- DFT total energy: -6.076 eV per atom

abc: 5.0711 5.0711 8.4722
angles: 90.00 90.00 120.00
Closest atoms and distances in Å follow each position.
Atoms (fractional coordinates):
Ce 0.0000 0.0000 0.0000  12 Ni 2.94-3.04, 4 Ce 3.06-3.25
Ce 0.0000 0.0000 0.3834  12 Ni 2.98-3.08, 3 Nd 3.12, 1 Ce 3.25
Ce 0.3333 0.6667 0.8931  12 Ni 2.97-3.01, 3 Ce 3.06, 1 Nd 3.24
Nd 0.3333 0.6667 0.5111  12 Ni 2.98-3.05, 4 Ce 3.12-3.24
Ni 0.3410 0.1705 0.7011  6 Ni 2.48-2.59
Ni 0.5039 0.0078 0.1976  6 Ni 2.48-2.59
Ni 0.5039 0.4961 0.1976  6 Ni 2.48-2.59
Ni 0.6667 0.3333 0.4476  6 Ni 2.56-2.58
Ni 0.6667 0.3333 0.9513  6 Ni 2.53-2.56
Ni 0.8295 0.1705 0.7011  6 Ni 2.48-2.59
Ni 0.8295 0.6590 0.7011  6 Ni 2.48-2.59
Ni 0.9922 0.4961 0.1976  6 Ni 2.48-2.59

---

Record 4
The following is a DFT calculation (PBE) of a geometry-optimized Li4CrH5 structure.

- DFT total energy: -3.640 eV per atom

abc: 4.9050 4.9050 6.9360
angles: 121.35 121.35 31.74
Closest atoms and distances in Å follow each position.
Atoms (fractional coordinates):
Li 0.0966 0.0966 0.3974  6 H 1.90-2.04
Li 0.2983 0.2983 0.1935  6 H 1.89-2.12
Li 0.7017 0.7017 0.8065  6 H 1.89-2.12
Li 0.9034 0.9034 0.6026  6 H 1.90-2.04
Cr 0.5000 0.5000 0.0000  6 H 1.80-1.81
H 0.0844 0.0844 0.9149  2 Cr 1.81, 2 Li 1.89-1.90
H 0.3098 0.3098 0.7188  1 Cr 1.80, 4 Li 1.97-2.00
H 0.5000 0.5000 0.5000  6 Li 1.94-1.96
H 0.6902 0.6902 0.2812  1 Cr 1.80, 4 Li 1.97-2.00
H 0.9156 0.9156 0.0851  2 Cr 1.81, 2 Li 1.89-1.90